1.
Material: PmNd4Th
Method: DFT, PBE
State: optimized geometry

Formation enthalpy at 0 K   4 kJ/mol of atoms

abc: 3.6415 6.3284 9.7031
angles: 77.60 79.24 73.73
Closest atoms and distances in Å follow each position.
Space group P-1 (No. 2)
Inequivalent atoms, fractional coordinates:
Pm 0.0000 0.0000 0.0000 (multiplicity 1)  2 Pm 3.64, 10 Nd 3.67-3.70
Nd 0.3360 0.9921 0.3380 (multiplicity 2)  7 Nd 3.59-3.70, 3 Th 3.60-3.68, 2 Pm 3.69
Nd 0.3368 0.4998 0.8263 (multiplicity 2)  2 Th 3.60-3.61, 7 Nd 3.61-3.78, 3 Pm 3.67-3.70
Th 0.0000 0.5000 0.5000 (multiplicity 1)  10 Nd 3.60-3.68, 2 Th 3.64



2.
Material: BeCdBIrAu
Method: DFT, PBE
State: optimized geometry

Excess energy over the best structure of this formula in the dataset   0.021 eV/atom
Formation enthalpy at 0 K   -10 kJ/mol of atoms

abc: 5.7179 3.3111 7.9503
angles: 90.00 104.34 90.00
Closest atoms and distances in Å follow each position.
Space group Cm (No. 8)
Inequivalent atoms, fractional coordinates:
Be 0.0000 0.0000 0.0000 (multiplicity 2)  3 B 2.03
Cd 0.0007 0.5000 0.5046 (multiplicity 2)  3 Au 2.94-2.97, 3 Ir 2.96-2.98, 1 B 3.13
B 0.1355 0.5000 0.9107 (multiplicity 2)  3 Be 2.03, 3 Ir 2.09
Ir 0.2639 0.0000 0.7992 (multiplicity 2)  3 B 2.09
Au 0.2379 0.5000 0.2123 (multiplicity 2)  1 B 2.32, 3 Be 2.51-2.52



3.
Material: Ba2SbAs
Method: DFT, PBE
State: optimized geometry

Excess energy over the best structure of this formula in the dataset   0.117 eV/atom
E_form (uncorrected)   -0.83 eV per atom

abc: 4.1646 4.4762 7.4559
angles: 90.00 90.00 90.00
Closest atoms and distances in Å follow each position.
Space group Pmmm (No. 47)
Inequivalent atoms, fractional coordinates:
Ba 0.0000 0.0000 0.2358 (multiplicity 2)  1 Ba 3.52, 4 As 3.53, 4 Sb 3.64
Sb 0.5000 0.5000 0.5000 (multiplicity 1)  8 Ba 3.64, 2 As 3.73
As 0.5000 0.5000 0.0000 (multiplicity 1)  8 Ba 3.53, 2 Sb 3.73



4.
Material: KSc2TaFe
Method: DFT, PBE
State: optimized geometry

Excess energy over the best structure of this formula in the dataset   0.000 eV/atom
Formation enthalpy at 0 K   158 kJ/mol of atoms

abc: 5.1294 5.1294 5.7749
angles: 90.00 90.00 90.00
Closest atoms and distances in Å follow each position.
Space group P4/mmm (No. 123)
Inequivalent atoms, fractional coordinates:
K 0.0000 0.0000 0.0000 (multiplicity 1)  2 Ta 2.89
Sc 0.0000 0.5000 0.5000 (multiplicity 2)  2 Ta 2.56
Ta 0.0000 0.0000 0.5000 (multiplicity 1)  4 Sc 2.56
Fe 0.5000 0.5000 0.0000 (multiplicity 1)  4 K 3.63, 8 Sc 3.86



5.
Material: ErNbIrRh
Method: DFT, PBE
State: optimized geometry

Formation enthalpy at 0 K   -49 kJ/mol of atoms

abc: 6.5908 6.5908 6.5908
angles: 90.00 90.00 90.00
Closest atoms and distances in Å follow each position.
Space group F-43m (No. 216)
Inequivalent atoms, fractional coordinates:
Er 0.0000 0.0000 0.0000 (multiplicity 4)  4 Rh 2.85, 4 Ir 2.85
Nb 0.0000 0.0000 0.5000 (multiplicity 4)  4 Ir 2.85, 4 Rh 2.85
Ir 0.2500 0.2500 0.7500 (multiplicity 4)  4 Nb 2.85, 4 Er 2.85
Rh 0.2500 0.2500 0.2500 (multiplicity 4)  4 Nb 2.85, 4 Er 2.85



6.
Material: Ti2NbHgCl
Method: DFT, PBE
State: optimized geometry

E_form (uncorrected)   0.22 eV per atom

abc: 4.4651 4.4651 4.6504
angles: 90.00 90.00 90.00
Closest atoms and distances in Å follow each position.
Space group P4/mmm (No. 123)
Inequivalent atoms, fractional coordinates:
Ti 0.0000 0.5000 0.0000 (multiplicity 2)  2 Cl 2.23
Nb 0.0000 0.0000 0.5000 (multiplicity 1)  2 Cl 2.33
Hg 0.5000 0.5000 0.5000 (multiplicity 1)  4 Nb 3.16, 8 Ti 3.22
Cl 0.0000 0.0000 0.0000 (multiplicity 1)  4 Ti 2.23, 2 Nb 2.33



7.
Material: Sr2Ag2F
Method: DFT, PBE
State: optimized geometry

E_form (uncorrected)   -1.06 eV per atom

abc: 7.5373 7.5373 5.0135
angles: 90.00 90.00 90.00
Closest atoms and distances in Å follow each position.
Space group P4/mbm (No. 127)
Inequivalent atoms, fractional coordinates:
Sr 0.1885 0.3115 0.0000 (multiplicity 4)  2 F 2.74
Ag 0.1258 0.6258 0.5000 (multiplicity 4)  1 Ag 2.68
F 0.0000 0.0000 0.0000 (multiplicity 2)  4 Sr 2.74



8.
Material: CaZrFe2
Method: DFT, PBE
State: optimized geometry

Formation enthalpy at 0 K   53 kJ/mol of atoms

abc: 3.2563 3.2563 25.2228
angles: 90.00 90.00 120.00
Closest atoms and distances in Å follow each position.
Space group R-3m (No. 166, hexagonal axes)
Inequivalent atoms, fractional coordinates:
Ca 0.0000 0.0000 0.0000 (multiplicity 3)  6 Fe 2.99, 6 Ca 3.26
Zr 0.0000 0.0000 0.5000 (multiplicity 3)  6 Fe 2.66
Fe 0.0000 0.0000 0.2410 (multiplicity 6)  3 Zr 2.66



9.
Material: Ho6CdIr5
Method: DFT, PBE
State: optimized geometry

Formation enthalpy at 0 K   -73 kJ/mol of atoms

abc: 4.8133 7.1206 7.6108
angles: 90.00 108.15 90.00
Closest atoms and distances in Å follow each position.
Space group P2/m (No. 10)
Inequivalent atoms, fractional coordinates:
Ho 0.0000 0.2362 0.0000 (multiplicity 2)  6 Ir 2.94-3.00, 2 Cd 3.05
Ho 0.3281 0.2461 0.6562 (multiplicity 4)  7 Ir 2.91-3.04, 1 Cd 3.07
Cd 0.5000 0.5000 0.0000 (multiplicity 1)  8 Ho 3.05-3.07, 4 Ir 3.35-3.36
Ir 0.1607 0.5000 0.3233 (multiplicity 2)  8 Ho 3.00-3.02, 1 Cd 3.35
Ir 0.1676 0.0000 0.3355 (multiplicity 2)  8 Ho 2.91-2.98
Ir 0.5000 0.0000 0.0000 (multiplicity 1)  8 Ho 2.94-3.04



10.
Material: TlPb8Au6
Method: DFT, PBE
State: optimized geometry

Formation enthalpy at 0 K   -5 kJ/mol of atoms

abc: 8.6020 8.6020 19.5089
angles: 90.00 90.00 120.00
Closest atoms and distances in Å follow each position.
Space group R-3 (No. 148, hexagonal axes)
Inequivalent atoms, fractional coordinates:
Tl 0.0000 0.0000 0.0000 (multiplicity 3)  6 Au 3.18, 6 Pb 3.53
Pb 0.0000 0.0000 0.3331 (multiplicity 6)  6 Au 3.15-3.16
Pb 0.0012 0.6694 0.8927 (multiplicity 18)  4 Au 2.96-3.07
Au 0.0014 0.6655 0.0686 (multiplicity 18)  6 Pb 2.96-3.16, 1 Tl 3.18



11.
Material: Hf4ZrGa
Method: DFT, PBE
State: optimized geometry

Formation enthalpy at 0 K   -14 kJ/mol of atoms

abc: 10.0957 4.2102 6.3701
angles: 90.00 110.45 90.00
Closest atoms and distances in Å follow each position.
Space group C2/m (No. 12)
Inequivalent atoms, fractional coordinates:
Hf 0.1587 0.0000 0.3208 (multiplicity 4)  2 Ga 2.98, 3 Zr 3.10-3.23, 7 Hf 3.10-3.25
Hf 0.1711 0.0000 0.8369 (multiplicity 4)  7 Hf 3.00-3.25, 2 Zr 3.07, 3 Ga 3.11-3.12
Zr 0.0000 0.5000 0.5000 (multiplicity 2)  10 Hf 3.07-3.23, 2 Ga 3.19
Ga 0.0000 0.5000 0.0000 (multiplicity 2)  10 Hf 2.98-3.12, 2 Zr 3.19



12.
Material: Ti3Nb2Tl
Method: DFT, PBE
State: optimized geometry

Formation enthalpy at 0 K   3 kJ/mol of atoms

abc: 5.7824 5.7852 7.1962
angles: 76.01 75.71 73.57
Closest atoms and distances in Å follow each position.
Space group P-1 (No. 2)
Inequivalent atoms, fractional coordinates:
Ti 0.0708 0.0755 0.1641 (multiplicity 2)  6 Ti 2.76-3.06, 3 Nb 2.79-2.95
Ti 0.2708 0.7223 0.4942 (multiplicity 2)  2 Nb 2.73-2.78, 4 Tl 2.89-2.92, 2 Ti 2.97-3.00
Ti 0.4196 0.9044 0.8584 (multiplicity 2)  3 Nb 2.73-2.91, 4 Ti 2.76-2.98, 2 Tl 2.97-2.99
Nb 0.1003 0.5810 0.1471 (multiplicity 2)  3 Nb 2.72-2.90, 3 Ti 2.79-2.95, 2 Tl 3.01-3.02
Nb 0.4092 0.4146 0.8302 (multiplicity 2)  3 Nb 2.72-2.90, 5 Ti 2.73-2.91
Tl 0.2417 0.2256 0.5045 (multiplicity 2)  8 Ti 2.89-3.23, 2 Nb 3.01-3.02



Ordered DOS(E_F) results: 9.59, 4.26, 2.18, 8.73, 19.42, 6.86, 3.15, 19.21, 7.00, 15.97, 10.98, 14.69; unit states/eV/cell.